Entry 1:
Compound: NdThSc2Bi4
Source: the Alexandria database
Functional: PBE
Structure: relaxed

a = 7.6365 Å, b = 4.4567 Å, c = 7.7087 Å
α = 90.00°, β = 109.63°, γ = 90.00°
Space group P2/m (No. 10)
Symmetry-distinct sites (fractional):
1 Nd 0.0000 0.0000 0.0000 (multiplicity 1)
2 Th 0.0000 0.5000 0.5000 (multiplicity 1)
3 Sc 0.5000 0.0000 0.5000 (multiplicity 1)
4 Sc 0.5000 0.5000 0.0000 (multiplicity 1)
5 Bi 0.2733 0.5000 0.2581 (multiplicity 2)
6 Bi 0.2739 0.0000 0.7581 (multiplicity 2)

Computed properties:
As for the size of the total moment: 0.000 μB/f.u. For the formation enthalpy at 0 K, the calculation gives -0.71 eV/atom. For the total energy, the calculation gives -46.07 eV per formula unit. The value obtained for the calculated volume is 247.10 Å³ per cell.

---

Entry 2:
Compound: Nd2TmScBi4
Source: the Alexandria database
Functional: PBE
Structure: relaxed

a = 7.7472 Å, b = 4.4923 Å, c = 7.7765 Å
α = 90.00°, β = 109.55°, γ = 90.00°
Space group P2/m (No. 10)
Symmetry-distinct sites (fractional):
1 Nd 0.0000 0.0000 0.0000 (multiplicity 1)
2 Nd 0.0000 0.5000 0.5000 (multiplicity 1)
3 Tm 0.5000 0.0000 0.5000 (multiplicity 1)
4 Sc 0.5000 0.5000 0.0000 (multiplicity 1)
5 Bi 0.2659 0.5000 0.2503 (multiplicity 2)
6 Bi 0.2694 0.0000 0.7612 (multiplicity 2)

Computed properties:
As for the size of the total moment: 0.000 μB/f.u. For the formation enthalpy at 0 K, the calculation gives -0.82 eV/atom. For the total energy, the calculation gives -42.45 eV per formula unit. The value obtained for the calculated volume is 255.05 Å³ per cell.

---

Entry 3:
Compound: Nd2TmScBi5
Source: the Alexandria database
Functional: PBE
Structure: relaxed

a = 5.4392 Å, b = 5.4392 Å, c = 11.5525 Å
α = 90.00°, β = 90.00°, γ = 90.00°
Space group P4/mmm (No. 123)
Symmetry-distinct sites (fractional):
1 Nd 0.0000 0.0000 0.2198 (multiplicity 2)
2 Tm 0.5000 0.5000 0.0000 (multiplicity 1)
3 Sc 0.5000 0.5000 0.5000 (multiplicity 1)
4 Bi 0.0000 0.0000 0.5000 (multiplicity 1)
5 Bi 0.0000 0.5000 0.0000 (multiplicity 2)
6 Bi 0.5000 0.5000 0.2600 (multiplicity 2)

Computed properties:
As for the size of the total moment: 0.000 μB/f.u. For the formation enthalpy at 0 K, the calculation gives -0.09 eV/atom. For the total energy, the calculation gives -40.60 eV per formula unit. The value obtained for the calculated volume is 341.78 Å³ per cell.

---

Entry 4:
Compound: Nd5Bi4Se
Source: the Alexandria database
Functional: PBE
Structure: relaxed

a = 4.5497 Å, b = 4.5497 Å, c = 32.0423 Å
α = 90.00°, β = 90.00°, γ = 90.00°
Space group I4/mmm (No. 139)
Symmetry-distinct sites (fractional):
1 Nd 0.0000 0.0000 0.0000 (multiplicity 2)
2 Nd 0.0000 0.0000 0.2006 (multiplicity 4)
3 Nd 0.0000 0.0000 0.4050 (multiplicity 4)
4 Bi 0.0000 0.0000 0.0992 (multiplicity 4)
5 Bi 0.0000 0.0000 0.3022 (multiplicity 4)
6 Se 0.0000 0.0000 0.5000 (multiplicity 2)

Computed properties:
The relative energy among the computed polymorphs is 0.123 eV/f.u. As for the size of the total moment: 0.000 μB/f.u. For the total energy, the calculation gives -53.91 eV per formula unit. The value obtained for the calculated volume is 663.27 Å³ per cell.

---

Entry 5:
Compound: Nd3BiSe
Source: the Alexandria database
Functional: PBE
Structure: relaxed

a = 8.9146 Å, b = 4.3301 Å, c = 16.0280 Å
α = 90.00°, β = 90.00°, γ = 90.00°
Space group Pnma (No. 62)
Symmetry-distinct sites (fractional):
1 Nd 0.0198 0.2500 0.1092 (multiplicity 4)
2 Nd 0.1570 0.2500 0.5363 (multiplicity 4)
3 Nd 0.1780 0.7500 0.2854 (multiplicity 4)
4 Bi 0.1030 0.7500 0.6898 (multiplicity 4)
5 Se 0.1824 0.2500 0.9490 (multiplicity 4)

Computed properties:
As for the size of the total moment: 0.000 μB/f.u. For the total energy, the calculation gives -27.20 eV per formula unit. The value obtained for the calculated volume is 618.70 Å³ per cell.

---

Entry 6:
Compound: NdBiSe
Source: the Alexandria database
Functional: PBE
Structure: relaxed

a = 4.3365 Å, b = 4.3365 Å, c = 18.5609 Å
α = 90.00°, β = 90.00°, γ = 90.00°
Space group I4/mmm (No. 139)
Symmetry-distinct sites (fractional):
1 Nd 0.0000 0.0000 0.1534 (multiplicity 4)
2 Bi 0.0000 0.5000 0.0000 (multiplicity 4)
3 Se 0.0000 0.0000 0.3143 (multiplicity 4)

Computed properties:
As for the size of the total moment: 0.000 μB/f.u. For the total energy, the calculation gives -15.93 eV per formula unit. The value obtained for the calculated volume is 349.05 Å³ per cell.

---

Entry 7:
Compound: Nd6Bi5Se
Source: the Alexandria database
Functional: PBE
Structure: relaxed

a = 7.8914 Å, b = 13.6440 Å, c = 7.8835 Å
α = 90.00°, β = 109.48°, γ = 90.00°
Space group C2/m (No. 12)
Symmetry-distinct sites (fractional):
1 Nd 0.2416 0.0000 0.2508 (multiplicity 4)
2 Nd 0.2432 0.1623 0.7437 (multiplicity 8)
3 Bi 0.0000 0.1708 0.0000 (multiplicity 4)
4 Bi 0.0000 0.3341 0.5000 (multiplicity 4)
5 Bi 0.0000 0.5000 0.0000 (multiplicity 2)
6 Se 0.0000 0.0000 0.5000 (multiplicity 2)

Computed properties:
As for the size of the total moment: 0.000 μB/f.u. For the total energy, the calculation gives -64.61 eV per formula unit. The value obtained for the calculated volume is 800.23 Å³ per cell.

---

Entry 8:
Compound: NdBiSe3
Source: the Alexandria database
Functional: PBE
Structure: relaxed

a = 8.3048 Å, b = 4.1861 Å, c = 8.4378 Å
α = 90.00°, β = 91.53°, γ = 90.00°
Space group P2_1/m (No. 11)
Symmetry-distinct sites (fractional):
1 Nd 0.1171 0.2500 0.2829 (multiplicity 2)
2 Bi 0.3487 0.7500 0.8332 (multiplicity 2)
3 Se 0.1161 0.2500 0.9004 (multiplicity 2)
4 Se 0.1826 0.7500 0.5221 (multiplicity 2)
5 Se 0.3792 0.7500 0.1742 (multiplicity 2)

Computed properties:
The relative energy among the computed polymorphs is 0.000 eV/f.u. As for the size of the total moment: 0.000 μB/f.u. For the total energy, the calculation gives -24.62 eV per formula unit. The value obtained for the calculated volume is 293.23 Å³ per cell.